Record 1
VASP calculation (PBE) on a relaxed AlTe2Cl4 crystal.

Unit cell a=11.887 b=12.507 c=14.062 alpha=90.00 beta=90.00 gamma=90.00
Fractional positions:
Al 0.400 0.097 0.352
Al 0.900 0.903 0.148
Al 0.100 0.597 0.648
Al 0.600 0.403 0.852
Al 0.600 0.903 0.648
Al 0.100 0.097 0.852
Al 0.900 0.403 0.352
Al 0.400 0.597 0.148
Te 0.988 0.364 0.062
Te 0.488 0.636 0.438
Te 0.512 0.864 0.938
Te 0.012 0.136 0.562
Te 0.012 0.636 0.938
Te 0.512 0.364 0.562
Te 0.488 0.136 0.062
Te 0.988 0.864 0.438
Te 0.385 0.444 0.418
Te 0.885 0.556 0.082
Te 0.115 0.944 0.582
Te 0.615 0.056 0.918
Te 0.615 0.556 0.582
Te 0.115 0.444 0.918
Te 0.885 0.056 0.418
Te 0.385 0.944 0.082
Cl 0.388 0.431 0.114
Cl 0.888 0.569 0.386
Cl 0.112 0.931 0.886
Cl 0.612 0.069 0.614
Cl 0.612 0.569 0.886
Cl 0.112 0.431 0.614
Cl 0.888 0.069 0.114
Cl 0.388 0.931 0.386
Cl 0.067 0.350 0.320
Cl 0.567 0.650 0.180
Cl 0.433 0.850 0.680
Cl 0.933 0.150 0.820
Cl 0.933 0.650 0.680
Cl 0.433 0.350 0.820
Cl 0.567 0.150 0.320
Cl 0.067 0.850 0.180
Cl 0.329 0.193 0.468
Cl 0.829 0.807 0.032
Cl 0.171 0.693 0.532
Cl 0.671 0.307 0.968
Cl 0.671 0.807 0.532
Cl 0.171 0.193 0.968
Cl 0.829 0.307 0.468
Cl 0.329 0.693 0.032
Cl 0.294 0.129 0.228
Cl 0.794 0.871 0.272
Cl 0.206 0.629 0.772
Cl 0.706 0.371 0.728
Cl 0.706 0.871 0.772
Cl 0.206 0.129 0.728
Cl 0.794 0.371 0.228
Cl 0.294 0.629 0.272

E, eV/f.u.: -24.48
Spin magnetization, μB per cell: 0.0
Crystal system: orthorhombic

***

Record 2
VASP calculation (PBE) on a relaxed HfSn3S crystal.

Unit cell a=5.555 b=5.555 c=5.555 alpha=90.00 beta=90.00 gamma=90.00
Fractional positions:
S 0.500 0.500 0.500
Hf 0.000 0.000 0.000
Sn 0.000 0.500 0.000
Sn 0.000 0.000 0.500
Sn 0.500 0.000 0.000

Spin magnetization, μB per cell: 0.0
E above lowest polymorph, meV per atom: 125.8
Crystal system: cubic

***

Record 3
VASP calculation (PBE) on a relaxed Mg5Cd2Pd2Pt crystal.

Unit cell a=3.050 b=11.302 c=11.302 alpha=90.00 beta=90.00 gamma=90.00
Fractional positions:
Mg 0.500 0.194 0.045
Mg 0.500 0.806 0.955
Mg 0.500 0.045 0.806
Mg 0.500 0.694 0.455
Mg 0.500 0.955 0.194
Mg 0.500 0.306 0.545
Mg 0.500 0.545 0.694
Mg 0.500 0.455 0.306
Mg 0.500 0.500 0.000
Mg 0.500 0.000 0.500
Cd 0.000 0.681 0.181
Cd 0.000 0.319 0.819
Cd 0.000 0.181 0.319
Cd 0.000 0.819 0.681
Pd 0.000 0.138 0.638
Pd 0.000 0.862 0.362
Pd 0.000 0.638 0.862
Pd 0.000 0.362 0.138
Pt 0.000 0.000 0.000
Pt 0.000 0.500 0.500

Energy of formation from the pure elements, eV/atom: -0.482
Spin magnetization, μB per cell: 0.0
Crystal system: tetragonal

***

Record 4
VASP calculation (PBE) on a relaxed Tm2Pd3Rh crystal.

Unit cell a=5.954 b=5.963 c=7.752 alpha=112.62 beta=112.58 gamma=90.00
Fractional positions:
Tm 0.392 0.151 0.303
Tm 0.608 0.849 0.697
Tm 0.090 0.349 0.697
Tm 0.910 0.651 0.303
Pd 0.391 0.639 0.278
Pd 0.609 0.361 0.722
Pd 0.113 0.861 0.722
Pd 0.887 0.139 0.278
Pd 0.500 0.750 0.000
Pd 0.500 0.250 0.000
Rh 0.000 0.250 0.000
Rh 0.000 0.750 0.000

Energy of formation from the pure elements, eV/atom: -0.757
Spin magnetization, μB per cell: 0.0
Crystal system: orthorhombic

***

Record 5
VASP calculation (PBE) on a relaxed ScTeI2O crystal.

Unit cell a=6.189 b=6.189 c=4.067 alpha=90.00 beta=90.00 gamma=90.00
Fractional positions:
I 0.000 0.500 0.000
I 0.500 0.000 0.000
Sc 0.500 0.500 0.500
Te 0.000 0.000 0.000
O 0.000 0.000 0.500

Spin magnetization, μB per cell: 1.4
E above lowest polymorph, meV per atom: 905.8
Crystal system: tetragonal

***

Record 6
VASP calculation (PBE) on a relaxed MgUSe3 crystal.

Unit cell a=4.270 b=6.802 c=10.899 alpha=90.00 beta=101.30 gamma=90.00
Fractional positions:
Mg 0.888 0.935 0.777
Mg 0.112 0.435 0.223
U 0.331 0.520 0.663
U 0.669 0.020 0.337
Se 0.885 0.313 0.770
Se 0.115 0.813 0.230
Se 0.568 0.276 0.136
Se 0.432 0.776 0.864
Se 0.776 0.750 0.552
Se 0.224 0.250 0.448

E, eV/f.u.: -28.71
Spin magnetization, μB per cell: 4.0
Crystal system: orthorhombic

***

Record 7
VASP calculation (PBE) on a relaxed Nd3As2Pd7 crystal.

Unit cell a=4.135 b=4.135 c=14.183 alpha=98.38 beta=98.38 gamma=90.00
Fractional positions:
Nd 0.329 0.329 0.658
Nd 0.671 0.671 0.342
Nd 0.500 0.500 0.000
As 0.131 0.131 0.262
As 0.869 0.869 0.738
Pd 0.000 0.000 0.000
Pd 0.922 0.422 0.843
Pd 0.422 0.922 0.843
Pd 0.078 0.578 0.157
Pd 0.578 0.078 0.157
Pd 0.224 0.224 0.448
Pd 0.776 0.776 0.552

Energy of formation from the pure elements, eV/atom: -0.798
Spin magnetization, μB per cell: 0.0
Crystal system: tetragonal

***

Record 8
VASP calculation (PBE) on a relaxed ReSiAg2P crystal.

Unit cell a=4.716 b=4.504 c=4.716 alpha=90.00 beta=90.00 gamma=90.00
Fractional positions:
Re 0.000 0.500 0.000
Si 0.500 0.500 0.500
Ag 0.000 0.000 0.500
Ag 0.500 0.000 0.000
P 0.000 0.000 0.000

E, eV/f.u.: -24.04
Spin magnetization, μB per cell: 1.2
Crystal system: tetragonal